i:
Entry from OQMD via LeMat-Bulk: a geometry-optimized ScZnSiNi structure (GGA-PBE).

The structure in CIF format:
```
data_ScZnSiNi
_chemical_formula_sum 'Sc1 Zn1 Si1 Ni1'
_space_group_name_H-M_alt 'P 1'
_space_group_IT_number 1
_cell_length_a 4.339
_cell_length_b 4.339
_cell_length_c 4.339
_cell_angle_alpha 60.00
_cell_angle_beta 60.00
_cell_angle_gamma 60.00
loop_
_space_group_symop_operation_xyz
'x,y,z'
loop_
_atom_site_label
_atom_site_type_symbol
_atom_site_fract_x
_atom_site_fract_y
_atom_site_fract_z
Sc1 Sc 0.000 0.000 0.000
Zn1 Zn 0.750 0.750 0.750
Si1 Si 0.250 0.250 0.250
Ni1 Ni 0.500 0.500 0.500
```


ii:
Entry from OQMD via LeMat-Bulk: a geometry-optimized ScZnSiNi structure (GGA-PBE).

The structure in CIF format:
```
data_ScZnSiNi
_chemical_formula_sum 'Sc1 Zn1 Si1 Ni1'
_space_group_name_H-M_alt 'P 1'
_space_group_IT_number 1
_cell_length_a 4.306
_cell_length_b 4.306
_cell_length_c 4.306
_cell_angle_alpha 60.00
_cell_angle_beta 60.00
_cell_angle_gamma 60.00
loop_
_space_group_symop_operation_xyz
'x,y,z'
loop_
_atom_site_label
_atom_site_type_symbol
_atom_site_fract_x
_atom_site_fract_y
_atom_site_fract_z
Sc1 Sc 0.000 0.000 0.000
Zn1 Zn 0.750 0.750 0.750
Si1 Si 0.500 0.500 0.500
Ni1 Ni 0.250 0.250 0.250
```


iii:
Entry from OQMD via LeMat-Bulk: a geometry-optimized ScZnSiNi structure (GGA-PBE).

The structure in CIF format:
```
data_ScZnSiNi
_chemical_formula_sum 'Sc1 Zn1 Si1 Ni1'
_space_group_name_H-M_alt 'P 1'
_space_group_IT_number 1
_cell_length_a 4.356
_cell_length_b 4.356
_cell_length_c 4.356
_cell_angle_alpha 60.00
_cell_angle_beta 60.00
_cell_angle_gamma 60.00
loop_
_space_group_symop_operation_xyz
'x,y,z'
loop_
_atom_site_label
_atom_site_type_symbol
_atom_site_fract_x
_atom_site_fract_y
_atom_site_fract_z
Sc1 Sc 0.000 0.000 0.000
Zn1 Zn 0.500 0.500 0.500
Si1 Si 0.750 0.750 0.750
Ni1 Ni 0.250 0.250 0.250
```


The winner here is ii, beating the second structure by 14 meV/atom.


i:
Entry from OQMD via LeMat-Bulk: a geometry-optimized SmScNi structure (GGA-PBE).

The structure in CIF format:
```
data_SmScNi
_chemical_formula_sum 'Sm1 Sc1 Ni1'
_space_group_name_H-M_alt 'P 1'
_space_group_IT_number 1
_cell_length_a 4.564
_cell_length_b 4.564
_cell_length_c 4.564
_cell_angle_alpha 60.00
_cell_angle_beta 60.00
_cell_angle_gamma 60.00
loop_
_space_group_symop_operation_xyz
'x,y,z'
loop_
_atom_site_label
_atom_site_type_symbol
_atom_site_fract_x
_atom_site_fract_y
_atom_site_fract_z
Sm1 Sm 0.000 0.000 0.000
Sc1 Sc 0.250 0.250 0.250
Ni1 Ni 0.750 0.750 0.750
```


ii:
Entry from OQMD via LeMat-Bulk: a geometry-optimized SmScNi structure (GGA-PBE).

The structure in CIF format:
```
data_SmScNi
_chemical_formula_sum 'Sm1 Sc1 Ni1'
_space_group_name_H-M_alt 'P 1'
_space_group_IT_number 1
_cell_length_a 4.627
_cell_length_b 4.627
_cell_length_c 4.627
_cell_angle_alpha 60.00
_cell_angle_beta 60.00
_cell_angle_gamma 60.00
loop_
_space_group_symop_operation_xyz
'x,y,z'
loop_
_atom_site_label
_atom_site_type_symbol
_atom_site_fract_x
_atom_site_fract_y
_atom_site_fract_z
Sm1 Sm 0.000 0.000 0.000
Sc1 Sc 0.500 0.500 0.500
Ni1 Ni 0.750 0.750 0.750
```


The winner here is ii, beating the second structure by 727 meV/atom.


i:
Entry from OQMD via LeMat-Bulk: a geometry-optimized ScTcNiSn structure (GGA-PBE).

The structure in CIF format:
```
data_ScTcNiSn
_chemical_formula_sum 'Sc1 Tc1 Ni1 Sn1'
_space_group_name_H-M_alt 'P 1'
_space_group_IT_number 1
_cell_length_a 4.510
_cell_length_b 4.510
_cell_length_c 4.510
_cell_angle_alpha 60.00
_cell_angle_beta 60.00
_cell_angle_gamma 60.00
loop_
_space_group_symop_operation_xyz
'x,y,z'
loop_
_atom_site_label
_atom_site_type_symbol
_atom_site_fract_x
_atom_site_fract_y
_atom_site_fract_z
Sc1 Sc 0.000 0.000 0.000
Tc1 Tc 0.250 0.250 0.250
Ni1 Ni 0.750 0.750 0.750
Sn1 Sn 0.500 0.500 0.500
```


ii:
Entry from OQMD via LeMat-Bulk: a geometry-optimized ScTcNiSn structure (GGA-PBE).

The structure in CIF format:
```
data_ScTcNiSn
_chemical_formula_sum 'Sc1 Tc1 Ni1 Sn1'
_space_group_name_H-M_alt 'P 1'
_space_group_IT_number 1
_cell_length_a 4.572
_cell_length_b 4.572
_cell_length_c 4.572
_cell_angle_alpha 60.00
_cell_angle_beta 60.00
_cell_angle_gamma 60.00
loop_
_space_group_symop_operation_xyz
'x,y,z'
loop_
_atom_site_label
_atom_site_type_symbol
_atom_site_fract_x
_atom_site_fract_y
_atom_site_fract_z
Sc1 Sc 0.000 0.000 0.000
Tc1 Tc 0.750 0.750 0.750
Ni1 Ni 0.500 0.500 0.500
Sn1 Sn 0.250 0.250 0.250
```


The winner here is i, beating the second structure by 422 meV/atom.


i:
Entry from OQMD via LeMat-Bulk: a geometry-optimized Sc2TcNi structure (GGA-PBE).

The structure in CIF format:
```
data_Sc2TcNi
_chemical_formula_sum 'Sc2 Tc1 Ni1'
_space_group_name_H-M_alt 'P 1'
_space_group_IT_number 1
_cell_length_a 4.516
_cell_length_b 4.516
_cell_length_c 4.516
_cell_angle_alpha 119.95
_cell_angle_beta 119.95
_cell_angle_gamma 90.09
loop_
_space_group_symop_operation_xyz
'x,y,z'
loop_
_atom_site_label
_atom_site_type_symbol
_atom_site_fract_x
_atom_site_fract_y
_atom_site_fract_z
Sc1 Sc 0.250 0.750 0.500
Sc2 Sc 0.750 0.250 0.500
Tc1 Tc 0.000 0.000 0.000
Ni1 Ni 0.500 0.500 0.000
```


ii:
Entry from OQMD via LeMat-Bulk: a geometry-optimized Sc2TcNi structure (GGA-PBE).

The structure in CIF format:
```
data_Sc2TcNi
_chemical_formula_sum 'Sc2 Tc1 Ni1'
_space_group_name_H-M_alt 'P 1'
_space_group_IT_number 1
_cell_length_a 3.233
_cell_length_b 3.233
_cell_length_c 6.328
_cell_angle_alpha 90.00
_cell_angle_beta 90.00
_cell_angle_gamma 90.00
loop_
_space_group_symop_operation_xyz
'x,y,z'
loop_
_atom_site_label
_atom_site_type_symbol
_atom_site_fract_x
_atom_site_fract_y
_atom_site_fract_z
Sc1 Sc 0.000 0.000 0.249
Sc2 Sc 0.000 0.000 0.751
Tc1 Tc 0.500 0.500 0.500
Ni1 Ni 0.500 0.500 0.000
```


iii:
Entry from OQMD via LeMat-Bulk: a geometry-optimized Sc2TcNi structure (GGA-PBE).

The structure in CIF format:
```
data_Sc2TcNi
_chemical_formula_sum 'Sc8 Tc4 Ni4'
_space_group_name_H-M_alt 'P 1'
_space_group_IT_number 1
_cell_length_a 6.400
_cell_length_b 6.428
_cell_length_c 6.385
_cell_angle_alpha 90.00
_cell_angle_beta 90.00
_cell_angle_gamma 90.00
loop_
_space_group_symop_operation_xyz
'x,y,z'
loop_
_atom_site_label
_atom_site_type_symbol
_atom_site_fract_x
_atom_site_fract_y
_atom_site_fract_z
Sc1 Sc 0.250 0.001 0.250
Sc2 Sc 0.250 0.499 0.250
Sc3 Sc 0.250 0.501 0.750
Sc4 Sc 0.250 0.999 0.750
Sc5 Sc 0.750 0.001 0.250
Sc6 Sc 0.750 0.499 0.250
Sc7 Sc 0.750 0.501 0.750
Sc8 Sc 0.750 0.999 0.750
Tc1 Tc 0.000 0.250 0.501
Tc2 Tc 0.000 0.750 0.499
Tc3 Tc 0.500 0.250 0.999
Tc4 Tc 0.500 0.750 0.001
Ni1 Ni 0.001 0.250 0.999
Ni2 Ni 0.499 0.750 0.499
Ni3 Ni 0.501 0.250 0.501
Ni4 Ni 0.999 0.750 0.001
```


The winner here is ii, beating the second structure by 10 meV/atom.


i:
Entry from OQMD via LeMat-Bulk: a geometry-optimized ScTlTcNi structure (GGA-PBE).

The structure in CIF format:
```
data_ScTlTcNi
_chemical_formula_sum 'Sc1 Tl1 Tc1 Ni1'
_space_group_name_H-M_alt 'P 1'
_space_group_IT_number 1
_cell_length_a 4.574
_cell_length_b 4.574
_cell_length_c 4.574
_cell_angle_alpha 60.00
_cell_angle_beta 60.00
_cell_angle_gamma 60.00
loop_
_space_group_symop_operation_xyz
'x,y,z'
loop_
_atom_site_label
_atom_site_type_symbol
_atom_site_fract_x
_atom_site_fract_y
_atom_site_fract_z
Sc1 Sc 0.000 0.000 0.000
Tl1 Tl 0.500 0.500 0.500
Tc1 Tc 0.250 0.250 0.250
Ni1 Ni 0.750 0.750 0.750
```


ii:
Entry from OQMD via LeMat-Bulk: a geometry-optimized ScTlTcNi structure (GGA-PBE).

The structure in CIF format:
```
data_ScTlTcNi
_chemical_formula_sum 'Sc1 Tl1 Tc1 Ni1'
_space_group_name_H-M_alt 'P 1'
_space_group_IT_number 1
_cell_length_a 4.594
_cell_length_b 4.594
_cell_length_c 4.594
_cell_angle_alpha 60.00
_cell_angle_beta 60.00
_cell_angle_gamma 60.00
loop_
_space_group_symop_operation_xyz
'x,y,z'
loop_
_atom_site_label
_atom_site_type_symbol
_atom_site_fract_x
_atom_site_fract_y
_atom_site_fract_z
Sc1 Sc 0.000 0.000 0.000
Tl1 Tl 0.250 0.250 0.250
Tc1 Tc 0.750 0.750 0.750
Ni1 Ni 0.500 0.500 0.500
```


The winner here is i, beating the second structure by 187 meV/atom.


i:
Entry from OQMD via LeMat-Bulk: a geometry-optimized ScNiTe2 structure (GGA-PBE).

The structure in CIF format:
```
data_ScNiTe2
_chemical_formula_sum 'Sc1 Ni1 Te2'
_space_group_name_H-M_alt 'P 1'
_space_group_IT_number 1
_cell_length_a 4.013
_cell_length_b 4.013
_cell_length_c 6.319
_cell_angle_alpha 90.00
_cell_angle_beta 90.00
_cell_angle_gamma 120.00
loop_
_space_group_symop_operation_xyz
'x,y,z'
loop_
_atom_site_label
_atom_site_type_symbol
_atom_site_fract_x
_atom_site_fract_y
_atom_site_fract_z
Sc1 Sc 0.000 0.000 0.000
Ni1 Ni 0.000 0.000 0.500
Te1 Te 0.333 0.667 0.720
Te2 Te 0.667 0.333 0.280
```


ii:
Entry from OQMD via LeMat-Bulk: a geometry-optimized ScNiTe2 structure (GGA-PBE).

The structure in CIF format:
```
data_ScNiTe2
_chemical_formula_sum 'Sc1 Ni1 Te2'
_space_group_name_H-M_alt 'P 1'
_space_group_IT_number 1
_cell_length_a 4.983
_cell_length_b 4.983
_cell_length_c 4.983
_cell_angle_alpha 60.00
_cell_angle_beta 60.00
_cell_angle_gamma 60.00
loop_
_space_group_symop_operation_xyz
'x,y,z'
loop_
_atom_site_label
_atom_site_type_symbol
_atom_site_fract_x
_atom_site_fract_y
_atom_site_fract_z
Sc1 Sc 0.000 0.000 0.000
Ni1 Ni 0.250 0.250 0.250
Te1 Te 0.500 0.500 0.500
Te2 Te 0.750 0.750 0.750
```


The winner here is i, beating the second structure by 735 meV/atom.